{"formula": "Na8TlPb3", "functional": "PBE-GGA", "state": "optimized geometry", "cell": [[5.361, -5.357, 0.000], [5.361, 5.357, 0.000], [-5.327, 0.000, 7.586]], "species": ["Na", "Na", "Na", "Na", "Na", "Na", "Na", "Na", "Tl", "Pb", "Pb", "Pb"], "frac_coords": [[0.113, 0.630, 0.244], [0.114, 0.114, 0.244], [0.370, 0.370, 0.757], [0.370, 0.887, 0.756], [0.630, 0.113, 0.244], [0.630, 0.630, 0.243], [0.886, 0.886, 0.756], [0.887, 0.370, 0.756], [0.500, 0.500, 0.500], [0.000, 0.000, 0.500], [0.250, 0.750, 0.000], [0.750, 0.250, 0.000]], "dft_energy_ev_per_atom": -1.935, "sg": "C2/m, No. 12", "rho_g_cm3": 3.85, "vol_a3_per_atom": 36.31}


{"formula": "Na12Tl5Pb2", "functional": "PBE-GGA", "state": "optimized geometry", "cell": [[7.385, -4.675, 0.000], [7.385, 4.675, 0.000], [-0.066, 0.000, 8.393]], "species": ["Na", "Na", "Na", "Na", "Na", "Na", "Na", "Na", "Na", "Na", "Na", "Na", "Tl", "Tl", "Tl", "Tl", "Tl", "Pb", "Pb"], "frac_coords": [[0.062, 0.062, 0.316], [0.080, 0.674, 0.339], [0.157, 0.532, 0.759], [0.326, 0.920, 0.661], [0.410, 0.410, 0.127], [0.468, 0.843, 0.241], [0.532, 0.157, 0.759], [0.590, 0.590, 0.873], [0.674, 0.080, 0.339], [0.843, 0.468, 0.241], [0.920, 0.326, 0.661], [0.938, 0.938, 0.684], [0.196, 0.196, 0.996], [0.268, 0.268, 0.440], [0.500, 0.500, 0.500], [0.732, 0.732, 0.560], [0.804, 0.804, 0.004], [0.182, 0.818, 0.000], [0.818, 0.182, 0.000]], "de_polymorph_mev_per_atom": 11.6, "dft_energy_ev_per_atom": -1.931, "sg": "C2/m, No. 12", "rho_g_cm3": 4.91, "vol_a3_per_atom": 30.50}


{"formula": "Na4Tl4Pb3", "functional": "PBE-GGA", "state": "optimized geometry", "cell": [[10.327, 0.000, 0.000], [0.000, 2.663, 5.987], [0.000, -2.663, 5.987]], "species": ["Na", "Na", "Na", "Na", "Tl", "Tl", "Tl", "Tl", "Pb", "Pb", "Pb"], "frac_coords": [[0.000, 0.000, 0.000], [0.227, 0.810, 0.810], [0.500, 0.957, 0.957], [0.773, 0.810, 0.810], [0.000, 0.634, 0.634], [0.286, 0.159, 0.159], [0.500, 0.671, 0.671], [0.714, 0.159, 0.159], [0.000, 0.311, 0.311], [0.269, 0.476, 0.476], [0.731, 0.476, 0.476]], "de_polymorph_mev_per_atom": 34.3, "dft_energy_ev_per_atom": -2.426, "sg": "Amm2, No. 38", "rho_g_cm3": 7.72, "vol_a3_per_atom": 29.93}


| no. | ΔH_f (0 K) (eV per atom) |
| --- | --- |
| 1 | 0.0690 |
| 2 | -0.0847 |
| 3 | -0.0744 |